[1]
# NiAg2Cl PBE optimized geometry
data_NiAg2Cl
_cell_length_a 3.771
_cell_length_b 3.105
_cell_length_c 6.722
_cell_angle_alpha 90.00
_cell_angle_beta 90.22
_cell_angle_gamma 90.00
_symmetry_space_group_name_H-M 'P 1 m 1'
_symmetry_Int_Tables_number 6
_symmetry_space_group_name_Hall 'P -2y'
loop_
_atom_site_label
_atom_site_fract_x
_atom_site_fract_y
_atom_site_fract_z
_atom_site_occupancy
Ni1 0.000 0.000 0.000 1
Ag1 0.499 0.500 0.825 1
Ag2 0.997 0.000 0.602 1
Cl1 0.000 0.500 0.244 1
# Energy relative to the elements, uncorrected (eV per atom): 0.048
# Mass density (Mg/m³): 6.540

---

[2]
# Ge2As2Pb PBE optimized geometry
data_Ge2As2Pb
_cell_length_a 8.018
_cell_length_b 8.018
_cell_length_c 3.462
_cell_angle_alpha 90.00
_cell_angle_beta 90.00
_cell_angle_gamma 90.00
_symmetry_space_group_name_H-M 'P 4/m b m'
_symmetry_Int_Tables_number 127
_symmetry_space_group_name_Hall '-P 4 2ab'
loop_
_atom_site_label
_atom_site_fract_x
_atom_site_fract_y
_atom_site_fract_z
_atom_site_occupancy
Ge1 0.128 0.372 0.000 1
As1 0.149 0.649 0.500 1
Pb1 0.000 0.000 0.000 1
# Energy relative to the elements (eV/atom): 0.2647
# Mass density (Mg/m³): 7.496

---

[3]
# MgBi2SbC PBE optimized geometry
data_MgBi2SbC
_cell_length_a 5.514
_cell_length_b 5.514
_cell_length_c 5.271
_cell_angle_alpha 90.00
_cell_angle_beta 90.00
_cell_angle_gamma 90.00
_symmetry_space_group_name_H-M 'P 4/m m m'
_symmetry_Int_Tables_number 123
_symmetry_space_group_name_Hall '-P 4 2'
loop_
_atom_site_label
_atom_site_fract_x
_atom_site_fract_y
_atom_site_fract_z
_atom_site_occupancy
Mg1 0.000 0.000 0.000 1
Bi1 0.000 0.500 0.000 1
Sb1 0.000 0.000 0.500 1
C1 0.500 0.500 0.500 1
# Energy relative to the elements, uncorrected (eV per atom): 1.819
# Mass density (Mg/m³): 5.970

---

[4]
# Li2GeAs2 PBE optimized geometry
data_Li2GeAs2
_cell_length_a 4.172
_cell_length_b 4.172
_cell_length_c 10.623
_cell_angle_alpha 90.00
_cell_angle_beta 90.00
_cell_angle_gamma 90.00
_symmetry_space_group_name_H-M 'I 4/m m m'
_symmetry_Int_Tables_number 139
_symmetry_space_group_name_Hall '-I 4 2'
loop_
_atom_site_label
_atom_site_fract_x
_atom_site_fract_y
_atom_site_fract_z
_atom_site_occupancy
Li1 0.000 0.500 0.250 1
Ge1 0.000 0.000 0.000 1
As1 0.000 0.000 0.388 1
# Energy relative to the elements (eV/atom): -0.1637
# Mass density (Mg/m³): 4.245

---

[5]
# Li2SmScTe4 PBE optimized geometry
data_Li2SmScTe4
_cell_length_a 7.442
_cell_length_b 4.293
_cell_length_c 7.445
_cell_angle_alpha 90.00
_cell_angle_beta 109.34
_cell_angle_gamma 90.00
_symmetry_space_group_name_H-M 'P 1 2/m 1'
_symmetry_Int_Tables_number 10
_symmetry_space_group_name_Hall '-P 2y'
loop_
_atom_site_label
_atom_site_fract_x
_atom_site_fract_y
_atom_site_fract_z
_atom_site_occupancy
Li1 0.000 0.000 0.000 1
Li2 0.500 0.500 0.000 1
Sm1 0.000 0.500 0.500 1
Sc1 0.500 0.000 0.500 1
Te1 0.265 0.500 0.253 1
Te2 0.266 0.000 0.756 1
# Energy relative to the elements, uncorrected (eV per atom): -1.225
# Mass density (Mg/m³): 5.324

---

[6]
# BaSmMgZn PBE optimized geometry
data_BaSmMgZn
_cell_length_a 7.939
_cell_length_b 7.939
_cell_length_c 7.939
_cell_angle_alpha 90.00
_cell_angle_beta 90.00
_cell_angle_gamma 90.00
_symmetry_space_group_name_H-M 'F -4 3 m'
_symmetry_Int_Tables_number 216
_symmetry_space_group_name_Hall 'F -4 2 3'
loop_
_atom_site_label
_atom_site_fract_x
_atom_site_fract_y
_atom_site_fract_z
_atom_site_occupancy
Ba1 0.000 0.000 0.000 1
Sm1 0.000 0.000 0.500 1
Mg1 0.250 0.250 0.250 1
Zn1 0.250 0.250 0.750 1
# Energy relative to the elements (eV/atom): -0.0148
# Mass density (Mg/m³): 5.010